Entry 1:
First-principles (PBE-GGA) data for an optimized crystal structure of NdAlGa2Cu2, as listed in OQMD via LeMat-Bulk.

Computed properties:
**DFT total energy**: -0.3014 Ry/atom
**Space-group type**: No. 65
**Crystal system**: orthorhombic

Cell: 5.367 5.367 4.093 Å, 90.00 90.00 118.91°
Sites, in units of the cell vectors:
Nd: 0.000 0.000 0.000
Al: 0.500 0.500 0.500
Ga: 0.000 0.500 0.500
Ga: 0.500 0.000 0.500
Cu: 0.340 0.660 0.000
Cu: 0.660 0.340 0.000



Entry 2:
First-principles (PBE-GGA) data for an optimized crystal structure of LiNbGe, as listed in OQMD via LeMat-Bulk.

Computed properties:
**DFT total energy**: -0.4000 Ry/atom
**Space-group type**: No. 216
**Crystal system**: cubic

Cell: 4.212 4.212 4.212 Å, 60.00 60.00 60.00°
Sites, in units of the cell vectors:
Li: 0.000 0.000 0.000
Nb: 0.500 0.500 0.500
Ge: 0.250 0.250 0.250